This record from the Alexandria database describes a geometry-optimized BeHPt structure. The functional is PBE-GGA.

E_tot   -4.628 eV/atom
Theoretical density   11.7 g/cm3

Cell lengths 6.0641, 4.8685, 4.6400 Å; angles 69.36, 67.36, 91.21 degrees
Fractional coordinates of all 12 atoms:
Be: 0.9889 0.4775 0.2642
Be: 0.6498 0.6672 0.5432
Be: 0.4786 0.1035 0.1676
Be: 0.8474 0.8930 0.8772
Pt: 0.8577 0.4142 0.8599
Pt: 0.0507 0.9531 0.2615
Pt: 0.6029 0.1409 0.5941
Pt: 0.4300 0.6212 0.1833
H: 0.2332 0.2872 0.2225
H: 0.0641 0.1633 0.8459
H: 0.3883 0.3950 0.5929
H: 0.4157 0.8840 0.5878